Entry 1:
# Ag3BiF, relaxed, DFT PBE-GGA
# E	-2.534	eV/atom
# D(E_F)	2.21	states/eV per atom
# E above lowest polymorph	0.481	eV/atom
data_Ag3BiF
_cell_length_a 5.433
_cell_length_b 5.433
_cell_length_c 5.433
_cell_angle_alpha 90.00
_cell_angle_beta 90.00
_cell_angle_gamma 90.00
_space_group_name_H-M_alt 'P m -3 m'
_space_group_IT_number 221
_space_group_name_Hall '-P 4 2 3'
loop_
_atom_site_label
_atom_site_fract_x
_atom_site_fract_y
_atom_site_fract_z
Ag1 0.000 0.000 0.500
Bi1 0.000 0.000 0.000
F1 0.500 0.500 0.500


Entry 2:
# NiIrPt2, relaxed, DFT PBE-GGA
# E	-6.529	eV/atom
# D(E_F)	1.33	states/eV per atom
# ΔE_f	0.15	eV/atom
# E above lowest polymorph	0.177	eV/atom
data_NiIrPt2
_cell_length_a 2.697
_cell_length_b 4.655
_cell_length_c 4.656
_cell_angle_alpha 90.00
_cell_angle_beta 90.00
_cell_angle_gamma 90.00
_space_group_name_H-M_alt 'P m m m'
_space_group_IT_number 47
loop_
_space_group_symop_operation_xyz
'x,y,z'
'-x,-y,-z'
'-x,-y,z'
'x,y,-z'
'x,-y,-z'
'-x,y,z'
'-x,y,-z'
'x,-y,z'
loop_
_atom_site_label
_atom_site_fract_x
_atom_site_fract_y
_atom_site_fract_z
Ni1 0.000 0.000 0.000
Ir1 0.500 0.500 0.000
Pt1 0.000 0.500 0.500
Pt2 0.500 0.000 0.500


Entry 3:
# CaBeGa3, relaxed, DFT PBE-GGA
# E	-1.696	eV/atom
# D(E_F)	1.32	states/eV per atom
# ΔE_f	1.27	eV/atom
# E above lowest polymorph	1.298	eV/atom
data_CaBeGa3
_cell_length_a 5.583
_cell_length_b 5.583
_cell_length_c 5.583
_cell_angle_alpha 90.00
_cell_angle_beta 90.00
_cell_angle_gamma 90.00
_space_group_name_H-M_alt 'P m -3 m'
_space_group_IT_number 221
_space_group_name_Hall '-P 4 2 3'
loop_
_atom_site_label
_atom_site_fract_x
_atom_site_fract_y
_atom_site_fract_z
Ca1 0.000 0.000 0.000
Be1 0.500 0.500 0.500
Ga1 0.000 0.000 0.500


Entry 4:
# TlP2Br, relaxed, DFT PBE-GGA
# E	-2.871	eV/atom
# D(E_F)	0.61	states/eV per atom
# E above lowest polymorph	0.963	eV/atom
data_TlP2Br
_cell_length_a 6.979
_cell_length_b 6.979
_cell_length_c 6.979
_cell_angle_alpha 90.00
_cell_angle_beta 90.00
_cell_angle_gamma 90.00
_space_group_name_H-M_alt 'F m -3 m'
_space_group_IT_number 225
_space_group_name_Hall '-F 4 2 3'
loop_
_atom_site_label
_atom_site_fract_x
_atom_site_fract_y
_atom_site_fract_z
Tl1 0.000 0.000 0.000
P1 0.250 0.250 0.250
Br1 0.000 0.000 0.500


Entry 5:
# HoEr5Mg3, relaxed, DFT PBE-GGA
# E	-3.195	eV/atom
# D(E_F)	1.19	states/eV per atom
# ΔE_f	0.38	eV/atom
data_HoEr5Mg3
_cell_length_a 11.327
_cell_length_b 9.071
_cell_length_c 11.892
_cell_angle_alpha 90.00
_cell_angle_beta 104.49
_cell_angle_gamma 90.00
_space_group_name_H-M_alt 'C 1 2/m 1'
_space_group_IT_number 12
loop_
_space_group_symop_operation_xyz
'x,y,z'
'-x,-y,-z'
'-x,y,-z'
'x,-y,z'
'x+1/2,y+1/2,z'
'-x+1/2,-y+1/2,-z'
'-x+1/2,y+1/2,-z'
'x+1/2,-y+1/2,z'
loop_
_atom_site_label
_atom_site_fract_x
_atom_site_fract_y
_atom_site_fract_z
Ho1 0.118 0.000 0.265
Er1 0.000 0.308 0.000
Er2 0.087 0.500 0.632
Er3 0.176 0.183 0.797
Er4 0.224 0.500 0.932
Mg1 0.000 0.000 0.000
Mg2 0.000 0.000 0.500
Mg3 0.080 0.500 0.212
Mg4 0.238 0.500 0.439


Entry 6:
# K2TlOs, relaxed, DFT PBE-GGA
# E	-2.898	eV/atom
# D(E_F)	0.23	states/eV per atom
# ΔE_f	1.05	eV/atom
# E above lowest polymorph	0.347	eV/atom
data_K2TlOs
_cell_length_a 4.261
_cell_length_b 4.261
_cell_length_c 11.210
_cell_angle_alpha 90.00
_cell_angle_beta 90.00
_cell_angle_gamma 90.00
_space_group_name_H-M_alt 'I 4/m m m'
_space_group_IT_number 139
_space_group_name_Hall '-I 4 2'
loop_
_atom_site_label
_atom_site_fract_x
_atom_site_fract_y
_atom_site_fract_z
K1 0.000 0.500 0.250
Tl1 0.000 0.000 0.000
Os1 0.000 0.000 0.500


Entry 7:
# CaTeCO5, relaxed, DFT PBE-GGA
# E	-6.697	eV/atom
# D(E_F)	0.00	states/eV per atom
data_CaTeCO5
_cell_length_a 7.158
_cell_length_b 11.235
_cell_length_c 10.699
_cell_angle_alpha 90.00
_cell_angle_beta 90.00
_cell_angle_gamma 90.00
_space_group_name_H-M_alt 'P b c a'
_space_group_IT_number 61
loop_
_space_group_symop_operation_xyz
'x,y,z'
'-x,-y,-z'
'-x+1/2,-y,z+1/2'
'x+1/2,y,-z+1/2'
'x+1/2,-y+1/2,-z'
'-x+1/2,y+1/2,z'
'-x,y+1/2,-z+1/2'
'x,-y+1/2,z+1/2'
loop_
_atom_site_label
_atom_site_fract_x
_atom_site_fract_y
_atom_site_fract_z
Ca1 0.015 0.172 0.010
Te1 0.097 0.517 0.868
C1 0.237 0.241 0.243
O1 0.018 0.610 0.025
O2 0.145 0.142 0.224
O3 0.157 0.502 0.423
O4 0.219 0.728 0.858
O5 0.223 0.693 0.650


Entry 8:
# LiMgTa2, relaxed, DFT PBE-GGA
# E	-6.464	eV/atom
# D(E_F)	0.64	states/eV per atom
# ΔE_f	0.34	eV/atom
data_LiMgTa2
_cell_length_a 5.377
_cell_length_b 10.357
_cell_length_c 2.827
_cell_angle_alpha 90.00
_cell_angle_beta 112.20
_cell_angle_gamma 90.00
_space_group_name_H-M_alt 'C 1 2/m 1'
_space_group_IT_number 12
loop_
_space_group_symop_operation_xyz
'x,y,z'
'-x,-y,-z'
'-x,y,-z'
'x,-y,z'
'x+1/2,y+1/2,z'
'-x+1/2,-y+1/2,-z'
'-x+1/2,y+1/2,-z'
'x+1/2,-y+1/2,z'
loop_
_atom_site_label
_atom_site_fract_x
_atom_site_fract_y
_atom_site_fract_z
Li1 0.000 0.000 0.000
Mg1 0.000 0.500 0.000
Ta1 0.250 0.250 0.500


Entry 9:
# Ce2Pm2Tl5, relaxed, DFT PBE-GGA
# E	-3.860	eV/atom
# D(E_F)	1.98	states/eV per atom
# ΔE_f	-0.17	eV/atom
data_Ce2Pm2Tl5
_cell_length_a 16.365
_cell_length_b 7.190
_cell_length_c 10.053
_cell_angle_alpha 90.00
_cell_angle_beta 107.24
_cell_angle_gamma 90.00
_space_group_name_H-M_alt 'C 1 2/m 1'
_space_group_IT_number 12
loop_
_space_group_symop_operation_xyz
'x,y,z'
'-x,-y,-z'
'-x,y,-z'
'x,-y,z'
'x+1/2,y+1/2,z'
'-x+1/2,-y+1/2,-z'
'-x+1/2,y+1/2,-z'
'x+1/2,-y+1/2,z'
loop_
_atom_site_label
_atom_site_fract_x
_atom_site_fract_y
_atom_site_fract_z
Ce1 0.000 0.000 0.000
Ce2 0.000 0.500 0.500
Ce3 0.217 0.000 0.203
Pm1 0.109 0.000 0.609
Pm2 0.166 0.500 0.180
Tl1 0.052 0.216 0.297
Tl2 0.146 0.243 0.895
Tl3 0.250 0.250 0.500


Entry 10:
# CaHf2V, relaxed, DFT PBE-GGA
# E	-7.202	eV/atom
# D(E_F)	0.80	states/eV per atom
# ΔE_f	0.55	eV/atom
# E above lowest polymorph	0.000	eV/atom
data_CaHf2V
_cell_length_a 7.078
_cell_length_b 7.078
_cell_length_c 7.078
_cell_angle_alpha 90.00
_cell_angle_beta 90.00
_cell_angle_gamma 90.00
_space_group_name_H-M_alt 'F m -3 m'
_space_group_IT_number 225
_space_group_name_Hall '-F 4 2 3'
loop_
_atom_site_label
_atom_site_fract_x
_atom_site_fract_y
_atom_site_fract_z
Ca1 0.000 0.000 0.000
Hf1 0.250 0.250 0.250
V1 0.000 0.000 0.500


Entry 11:
# ScSi2Tc, relaxed, DFT PBE-GGA
# E	-7.169	eV/atom
# D(E_F)	1.06	states/eV per atom
# E above lowest polymorph	0.424	eV/atom
data_ScSi2Tc
_cell_length_a 3.812
_cell_length_b 3.812
_cell_length_c 8.290
_cell_angle_alpha 90.00
_cell_angle_beta 90.00
_cell_angle_gamma 90.00
_space_group_name_H-M_alt 'I -4 m 2'
_space_group_IT_number 119
_space_group_name_Hall 'I -4 -2'
loop_
_atom_site_label
_atom_site_fract_x
_atom_site_fract_y
_atom_site_fract_z
Sc1 0.000 0.000 0.000
Si1 0.000 0.000 0.500
Si2 0.000 0.500 0.750
Tc1 0.000 0.500 0.250


Entry 12:
# NaTl2ZnBr5, relaxed, DFT PBE-GGA
# E	-2.763	eV/atom
# D(E_F)	0.00	states/eV per atom
data_NaTl2ZnBr5
_cell_length_a 4.212
_cell_length_b 20.279
_cell_length_c 14.140
_cell_angle_alpha 90.00
_cell_angle_beta 90.00
_cell_angle_gamma 90.00
_space_group_name_H-M_alt 'C m c 21'
_space_group_IT_number 36
loop_
_space_group_symop_operation_xyz
'x,y,z'
'-x,-y,z+1/2'
'-x,y,z'
'x,-y,z+1/2'
'x+1/2,y+1/2,z'
'-x+1/2,-y+1/2,z+1/2'
'-x+1/2,y+1/2,z'
'x+1/2,-y+1/2,z+1/2'
loop_
_atom_site_label
_atom_site_fract_x
_atom_site_fract_y
_atom_site_fract_z
Na1 0.000 0.204 0.000
Tl1 0.000 0.131 0.293
Tl2 0.000 0.137 0.642
Zn1 0.000 0.438 0.383
Br1 0.000 0.041 0.979
Br2 0.000 0.296 0.643
Br3 0.000 0.321 0.350
Br4 0.000 0.347 0.975
Br5 0.000 0.499 0.741


Entry 13:
# KCrMo2, relaxed, DFT PBE-GGA
# E	-7.032	eV/atom
# D(E_F)	1.10	states/eV per atom
# ΔE_f	1.06	eV/atom
# E above lowest polymorph	0.256	eV/atom
data_KCrMo2
_cell_length_a 7.127
_cell_length_b 2.850
_cell_length_c 8.634
_cell_angle_alpha 90.00
_cell_angle_beta 93.00
_cell_angle_gamma 90.00
_space_group_name_H-M_alt 'C 1 2/m 1'
_space_group_IT_number 12
loop_
_space_group_symop_operation_xyz
'x,y,z'
'-x,-y,-z'
'-x,y,-z'
'x,-y,z'
'x+1/2,y+1/2,z'
'-x+1/2,-y+1/2,-z'
'-x+1/2,y+1/2,-z'
'x+1/2,-y+1/2,z'
loop_
_atom_site_label
_atom_site_fract_x
_atom_site_fract_y
_atom_site_fract_z
K1 0.000 0.000 0.000
Cr1 0.000 0.500 0.500
Mo1 0.227 0.000 0.649


Entry 14:
# SrCa3Rh, relaxed, DFT PBE-GGA
# E	-3.009	eV/atom
# D(E_F)	0.94	states/eV per atom
# ΔE_f	0.00	eV/atom
# E above lowest polymorph	0.226	eV/atom
data_SrCa3Rh
_cell_length_a 6.284
_cell_length_b 6.284
_cell_length_c 19.892
_cell_angle_alpha 90.00
_cell_angle_beta 90.00
_cell_angle_gamma 90.00
_space_group_name_H-M_alt 'I -4 m 2'
_space_group_IT_number 119
_space_group_name_Hall 'I -4 -2'
loop_
_atom_site_label
_atom_site_fract_x
_atom_site_fract_y
_atom_site_fract_z
Sr1 0.000 0.000 0.208
Ca1 0.000 0.249 0.377
Ca2 0.000 0.500 0.540
Rh1 0.000 0.000 0.500
Rh2 0.000 0.500 0.250


Entry 15:
# Ca2NiSn4Pd3, relaxed, DFT PBE-GGA
# E	-4.730	eV/atom
# D(E_F)	0.58	states/eV per atom
# ΔE_f	-0.59	eV/atom
data_Ca2NiSn4Pd3
_cell_length_a 4.502
_cell_length_b 4.502
_cell_length_c 11.058
_cell_angle_alpha 90.00
_cell_angle_beta 90.00
_cell_angle_gamma 90.00
_space_group_name_H-M_alt 'P -4 m 2'
_space_group_IT_number 115
loop_
_space_group_symop_operation_xyz
'x,y,z'
'y,-x,-z'
'-x,-y,z'
'-y,x,-z'
'-x,y,z'
'-y,-x,-z'
'x,-y,z'
'y,x,-z'
loop_
_atom_site_label
_atom_site_fract_x
_atom_site_fract_y
_atom_site_fract_z
Ca1 0.000 0.500 0.240
Ni1 0.500 0.500 0.000
Sn1 0.000 0.000 0.500
Sn2 0.000 0.500 0.880
Sn3 0.500 0.500 0.500
Pd1 0.000 0.000 0.000
Pd2 0.000 0.500 0.641


Entry 16:
# HfTl2FeMo, relaxed, DFT PBE-GGA
# E	-4.826	eV/atom
# D(E_F)	1.74	states/eV per atom
# ΔE_f	1.97	eV/atom
data_HfTl2FeMo
_cell_length_a 5.527
_cell_length_b 5.527
_cell_length_c 4.802
_cell_angle_alpha 90.00
_cell_angle_beta 90.00
_cell_angle_gamma 90.00
_space_group_name_H-M_alt 'P 4/m m m'
_space_group_IT_number 123
_space_group_name_Hall '-P 4 2'
loop_
_atom_site_label
_atom_site_fract_x
_atom_site_fract_y
_atom_site_fract_z
Hf1 0.000 0.000 0.000
Tl1 0.000 0.500 0.000
Fe1 0.500 0.500 0.500
Mo1 0.000 0.000 0.500


Entry 17:
# Zr4CdPd, relaxed, DFT PBE-GGA
# E	-7.008	eV/atom
# D(E_F)	0.71	states/eV per atom
# ΔE_f	-0.29	eV/atom
data_Zr4CdPd
_cell_length_a 3.330
_cell_length_b 3.330
_cell_length_c 11.647
_cell_angle_alpha 90.00
_cell_angle_beta 90.00
_cell_angle_gamma 90.00
_space_group_name_H-M_alt 'P 4/m m m'
_space_group_IT_number 123
_space_group_name_Hall '-P 4 2'
loop_
_atom_site_label
_atom_site_fract_x
_atom_site_fract_y
_atom_site_fract_z
Zr1 0.000 0.000 0.149
Zr2 0.500 0.500 0.325
Cd1 0.000 0.000 0.500
Pd1 0.500 0.500 0.000


Entry 18:
# TlOs2Pt, relaxed, DFT PBE-GGA
# E	-6.870	eV/atom
# D(E_F)	1.52	states/eV per atom
# ΔE_f	0.85	eV/atom
# E above lowest polymorph	0.460	eV/atom
data_TlOs2Pt
_cell_length_a 3.981
_cell_length_b 3.981
_cell_length_c 4.161
_cell_angle_alpha 90.00
_cell_angle_beta 90.00
_cell_angle_gamma 90.00
_space_group_name_H-M_alt 'P 4/m m m'
_space_group_IT_number 123
_space_group_name_Hall '-P 4 2'
loop_
_atom_site_label
_atom_site_fract_x
_atom_site_fract_y
_atom_site_fract_z
Tl1 0.000 0.000 0.000
Os1 0.000 0.500 0.500
Pt1 0.500 0.500 0.000


Entry 19:
# CaAc2GaN, relaxed, DFT PBE-GGA
# E	-4.985	eV/atom
# D(E_F)	0.38	states/eV per atom
data_CaAc2GaN
_cell_length_a 5.321
_cell_length_b 5.321
_cell_length_c 4.875
_cell_angle_alpha 90.00
_cell_angle_beta 90.00
_cell_angle_gamma 90.00
_space_group_name_H-M_alt 'P 4/m m m'
_space_group_IT_number 123
_space_group_name_Hall '-P 4 2'
loop_
_atom_site_label
_atom_site_fract_x
_atom_site_fract_y
_atom_site_fract_z
Ca1 0.000 0.000 0.000
Ac1 0.000 0.500 0.500
Ga1 0.500 0.500 0.000
N1 0.000 0.000 0.500


Entry 20:
# La2PrDy5Sc, relaxed, DFT PBE-GGA
# E	-4.729	eV/atom
# D(E_F)	1.32	states/eV per atom
# ΔE_f	0.16	eV/atom
data_La2PrDy5Sc
_cell_length_a 5.633
_cell_length_b 19.858
_cell_length_c 10.549
_cell_angle_alpha 90.00
_cell_angle_beta 90.00
_cell_angle_gamma 90.00
_space_group_name_H-M_alt 'C m c 21'
_space_group_IT_number 36
loop_
_space_group_symop_operation_xyz
'x,y,z'
'-x,-y,z+1/2'
'-x,y,z'
'x,-y,z+1/2'
'x+1/2,y+1/2,z'
'-x+1/2,-y+1/2,z+1/2'
'-x+1/2,y+1/2,z'
'x+1/2,-y+1/2,z+1/2'
loop_
_atom_site_label
_atom_site_fract_x
_atom_site_fract_y
_atom_site_fract_z
La1 0.000 0.115 0.000
La2 0.000 0.116 0.420
Pr1 0.000 0.412 0.149
Dy1 0.000 0.015 0.706
Dy2 0.000 0.277 0.008
Dy3 0.000 0.295 0.391
Dy4 0.000 0.375 0.705
Dy5 0.000 0.484 0.428
Sc1 0.000 0.199 0.700